Entry 1:
{"formula": "CsMgH3", "functional": "GGA-PBE", "state": "optimized geometry", "cell": [[7.8075, -1.6340, 0.0000], [7.8075, 1.6340, 0.0000], [-0.9992, 0.0000, 7.7840]], "species": ["Cs", "Cs", "Mg", "Mg", "H", "H", "H", "H", "H", "H"], "frac_coords": [[0.1731, 0.1731, 0.2238], [0.8269, 0.8269, 0.7762], [0.4090, 0.4090, 0.2827], [0.5910, 0.5910, 0.7173], [0.0122, 0.0122, 0.7154], [0.1592, 0.1592, 0.6181], [0.3467, 0.3467, 0.0723], [0.6533, 0.6533, 0.9277], [0.8408, 0.8408, 0.3819], [0.9878, 0.9878, 0.2846]], "total_energy_ev_per_fu": -12.8, "density_g_cm3": 2.679}

***

Entry 2:
{"formula": "Cs2MgMnH6", "functional": "GGA-PBE", "state": "optimized geometry", "cell": [[-2.9835, 2.9835, 4.2181], [2.9835, -2.9835, 4.2181], [2.9835, 2.9835, -4.2181]], "species": ["Cs", "Cs", "Mg", "Mn", "H", "H", "H", "H", "H", "H"], "frac_coords": [[0.2500, 0.7500, 0.5000], [0.7500, 0.2500, 0.5000], [0.0000, 0.0000, 0.0000], [0.5000, 0.5000, 0.0000], [0.2556, 0.2556, 0.0000], [0.2577, 0.2577, 0.5154], [0.2577, 0.7423, 0.0000], [0.7423, 0.2577, 0.0000], [0.7423, 0.7423, 0.4846], [0.7444, 0.7444, 0.0000]], "total_energy_ev_per_fu": -32.9, "density_g_cm3": 3.882}

***

Entry 3:
{"formula": "CsNaMgH2", "functional": "GGA-PBE", "state": "optimized geometry", "cell": [[5.0131, 0.0000, 0.0000], [0.0000, 5.0131, 0.0000], [0.0000, 0.0000, 6.0488]], "species": ["Cs", "Na", "Mg", "H", "H"], "frac_coords": [[0.0000, 0.0000, 0.0000], [0.0000, 0.0000, 0.5000], [0.5000, 0.5000, 0.0000], [0.0000, 0.5000, 0.5000], [0.5000, 0.0000, 0.5000]], "total_energy_ev_per_fu": -7.7, "density_g_cm3": 1.990}

***

Entry 4:
{"formula": "Cs3NaMg2H9", "functional": "GGA-PBE", "state": "optimized geometry", "cell": [[6.1754, 0.0000, 0.0000], [-3.0877, 5.3481, 0.0000], [0.0000, 0.0000, 7.6021]], "species": ["Cs", "Cs", "Cs", "Na", "Mg", "Mg", "H", "H", "H", "H", "H", "H", "H", "H", "H"], "frac_coords": [[0.0000, 0.0000, 0.0000], [0.3333, 0.6667, 0.6592], [0.6667, 0.3333, 0.3408], [0.0000, 0.0000, 0.5000], [0.3333, 0.6667, 0.1611], [0.6667, 0.3333, 0.8389], [0.0000, 0.5000, 0.0000], [0.1818, 0.3635, 0.3070], [0.1818, 0.8182, 0.3070], [0.3635, 0.1818, 0.6930], [0.5000, 0.0000, 0.0000], [0.5000, 0.5000, 0.0000], [0.6365, 0.8182, 0.3070], [0.8182, 0.1818, 0.6930], [0.8182, 0.6365, 0.6930]], "total_energy_ev_per_fu": -38.5, "density_g_cm3": 3.171}

***

Entry 5:
{"formula": "Cs2NaMgH5", "functional": "GGA-PBE", "state": "optimized geometry", "cell": [[2.0105, -7.9787, 0.0000], [2.0105, 7.9787, 0.0000], [0.0000, 0.0000, 11.8675]], "species": ["Cs", "Cs", "Cs", "Cs", "Na", "Na", "Mg", "Mg", "H", "H", "H", "H", "H", "H", "H", "H", "H", "H"], "frac_coords": [[0.0840, 0.9160, 0.5000], [0.1409, 0.8591, 0.1478], [0.8591, 0.1409, 0.6478], [0.9160, 0.0840, 0.0000], [0.1938, 0.8062, 0.8338], [0.8062, 0.1938, 0.3338], [0.4349, 0.5651, 0.2646], [0.5651, 0.4349, 0.7646], [0.0500, 0.9500, 0.7808], [0.3275, 0.6725, 0.8455], [0.3302, 0.6698, 0.1876], [0.3830, 0.6170, 0.4143], [0.4887, 0.5113, 0.6472], [0.5113, 0.4887, 0.1472], [0.6170, 0.3830, 0.9143], [0.6698, 0.3302, 0.6876], [0.6725, 0.3275, 0.3455], [0.9500, 0.0500, 0.2808]], "total_energy_ev_per_fu": -22.9, "density_g_cm3": 2.775}

***

Entry 6:
{"formula": "Cs2MgNiH6", "functional": "GGA-PBE", "state": "optimized geometry", "cell": [[6.3723, 0.0000, 0.0000], [-3.1862, 5.5186, 0.0000], [0.0000, 0.0000, 4.8755]], "species": ["Cs", "Cs", "Mg", "Ni", "H", "H", "H", "H", "H", "H"], "frac_coords": [[0.3333, 0.6667, 0.2736], [0.6667, 0.3333, 0.7264], [0.0000, 0.0000, 0.0000], [0.0000, 0.0000, 0.5000], [0.1247, 0.2494, 0.7039], [0.1247, 0.8753, 0.7039], [0.2494, 0.1247, 0.2961], [0.7506, 0.8753, 0.7039], [0.8753, 0.1247, 0.2961], [0.8753, 0.7506, 0.2961]], "total_energy_ev_per_fu": -30.9, "density_g_cm3": 3.437}

***

Entry 7:
{"formula": "Cs2MgH12S2O14", "functional": "GGA-PBE", "state": "optimized geometry", "cell": [[6.4445, 0.0000, 0.0000], [0.0000, 12.9591, 0.0000], [-2.6313, 0.0000, 9.0148]], "species": ["Cs", "Cs", "Cs", "Cs", "Mg", "Mg", "H", "H", "H", "H", "H", "H", "H", "H", "H", "H", "H", "H", "H", "H", "H", "H", "H", "H", "H", "H", "H", "H", "H", "H", "S", "S", "S", "S", "O", "O", "O", "O", "O", "O", "O", "O", "O", "O", "O", "O", "O", "O", "O", "O", "O", "O", "O", "O", "O", "O", "O", "O", "O", "O", "O", "O"], "frac_coords": [[0.1515, 0.1443, 0.3719], [0.1515, 0.3557, 0.8719], [0.8485, 0.6443, 0.1281], [0.8485, 0.8557, 0.6281], [0.5000, 0.0000, 0.0000], [0.5000, 0.5000, 0.5000], [0.1713, 0.5653, 0.6059], [0.1713, 0.9347, 0.1059], [0.1779, 0.0977, 0.7873], [0.1779, 0.4023, 0.2873], [0.1907, 0.6403, 0.4790], [0.1907, 0.8597, 0.9790], [0.4098, 0.1288, 0.7641], [0.4098, 0.3712, 0.2641], [0.4225, 0.5974, 0.2239], [0.4225, 0.9026, 0.7239], [0.4797, 0.6840, 0.3469], [0.4797, 0.8160, 0.8469], [0.5203, 0.1840, 0.1531], [0.5203, 0.3160, 0.6531], [0.5775, 0.0974, 0.2761], [0.5775, 0.4026, 0.7761], [0.5902, 0.6288, 0.7359], [0.5902, 0.8712, 0.2359], [0.8093, 0.1403, 0.0210], [0.8093, 0.3597, 0.5210], [0.8221, 0.5977, 0.7127], [0.8221, 0.9023, 0.2127], [0.8287, 0.0653, 0.8941], [0.8287, 0.4347, 0.3941], [0.2404, 0.6477, 0.8957], [0.2404, 0.8523, 0.3957], [0.7596, 0.1477, 0.6043], [0.7596, 0.3523, 0.1043], [0.1048, 0.5835, 0.7706], [0.1048, 0.9165, 0.2706], [0.1095, 0.7385, 0.9165], [0.1095, 0.7615, 0.4165], [0.2159, 0.5675, 0.5129], [0.2159, 0.9325, 0.0129], [0.2982, 0.5835, 0.0327], [0.2982, 0.9165, 0.5327], [0.3345, 0.1071, 0.8376], [0.3345, 0.3929, 0.3376], [0.4403, 0.6835, 0.8584], [0.4403, 0.8165, 0.3584], [0.4974, 0.1095, 0.1706], [0.4974, 0.3905, 0.6706], [0.5026, 0.6095, 0.3294], [0.5026, 0.8905, 0.8294], [0.5597, 0.1835, 0.6416], [0.5597, 0.3165, 0.1416], [0.6655, 0.6071, 0.6624], [0.6655, 0.8929, 0.1624], [0.7018, 0.0835, 0.4673], [0.7018, 0.4165, 0.9673], [0.7841, 0.0675, 0.9871], [0.7841, 0.4325, 0.4871], [0.8905, 0.2385, 0.5835], [0.8905, 0.2615, 0.0835], [0.8952, 0.0835, 0.7294], [0.8952, 0.4165, 0.2294]], "total_energy_ev_per_fu": -165.7, "density_g_cm3": 2.604}

***

Entry 8:
{"formula": "Cs2MgH12Se2O14", "functional": "GGA-PBE", "state": "optimized geometry", "cell": [[6.5877, 0.0000, 0.0000], [0.0000, 13.1580, 0.0000], [-2.5594, 0.0000, 9.2368]], "species": ["Cs", "Cs", "Cs", "Cs", "Mg", "Mg", "H", "H", "H", "H", "H", "H", "H", "H", "H", "H", "H", "H", "H", "H", "H", "H", "H", "H", "H", "H", "H", "H", "H", "H", "Se", "Se", "Se", "Se", "O", "O", "O", "O", "O", "O", "O", "O", "O", "O", "O", "O", "O", "O", "O", "O", "O", "O", "O", "O", "O", "O", "O", "O", "O", "O", "O", "O"], "frac_coords": [[0.1555, 0.1482, 0.3700], [0.1555, 0.3518, 0.8700], [0.8445, 0.6482, 0.1300], [0.8445, 0.8518, 0.6300], [0.5000, 0.0000, 0.0000], [0.5000, 0.5000, 0.5000], [0.1744, 0.5620, 0.6041], [0.1744, 0.9380, 0.1041], [0.1834, 0.0934, 0.7947], [0.1834, 0.4066, 0.2947], [0.1889, 0.6362, 0.4783], [0.1889, 0.8638, 0.9783], [0.4054, 0.1275, 0.7676], [0.4054, 0.3725, 0.2676], [0.4250, 0.5947, 0.2307], [0.4250, 0.9053, 0.7307], [0.4885, 0.6808, 0.3493], [0.4885, 0.8192, 0.8493], [0.5115, 0.1808, 0.1507], [0.5115, 0.3192, 0.6507], [0.5750, 0.0947, 0.2693], [0.5750, 0.4053, 0.7693], [0.5946, 0.6275, 0.7324], [0.5946, 0.8725, 0.2324], [0.8111, 0.1362, 0.0217], [0.8111, 0.3638, 0.5217], [0.8166, 0.5934, 0.7053], [0.8166, 0.9066, 0.2053], [0.8256, 0.0620, 0.8959], [0.8256, 0.4380, 0.3959], [0.2404, 0.6466, 0.8969], [0.2404, 0.8534, 0.3969], [0.7596, 0.1466, 0.6031], [0.7596, 0.3534, 0.1031], [0.0930, 0.7464, 0.9176], [0.0930, 0.7536, 0.4176], [0.0948, 0.5750, 0.7609], [0.0948, 0.9250, 0.2609], [0.2224, 0.5655, 0.5143], [0.2224, 0.9345, 0.0143], [0.2970, 0.5756, 0.0471], [0.2970, 0.9244, 0.5471], [0.3355, 0.1050, 0.8419], [0.3355, 0.3950, 0.3419], [0.4617, 0.6869, 0.8578], [0.4617, 0.8131, 0.3578], [0.4933, 0.1069, 0.1674], [0.4933, 0.3931, 0.6674], [0.5067, 0.6069, 0.3326], [0.5067, 0.8931, 0.8326], [0.5383, 0.1869, 0.6422], [0.5383, 0.3131, 0.1422], [0.6645, 0.6050, 0.6581], [0.6645, 0.8950, 0.1581], [0.7030, 0.0756, 0.4529], [0.7030, 0.4244, 0.9529], [0.7776, 0.0655, 0.9857], [0.7776, 0.4345, 0.4857], [0.9052, 0.0750, 0.7391], [0.9052, 0.4250, 0.2391], [0.9070, 0.2464, 0.5824], [0.9070, 0.2536, 0.0824]], "total_energy_ev_per_fu": -158.1, "density_g_cm3": 2.838}

***

Entry 9:
{"formula": "Cs3RbMg2H9", "functional": "GGA-PBE", "state": "optimized geometry", "cell": [[6.3479, 0.0000, 0.0000], [-3.1740, 5.4975, 0.0000], [0.0000, 0.0000, 7.9645]], "species": ["Cs", "Cs", "Cs", "Rb", "Mg", "Mg", "H", "H", "H", "H", "H", "H", "H", "H", "H"], "frac_coords": [[0.0000, 0.0000, 0.0000], [0.3333, 0.6667, 0.6689], [0.6667, 0.3333, 0.3311], [0.0000, 0.0000, 0.5000], [0.3333, 0.6667, 0.1516], [0.6667, 0.3333, 0.8484], [0.0000, 0.5000, 0.0000], [0.1890, 0.3780, 0.2872], [0.1890, 0.8110, 0.2872], [0.3780, 0.1890, 0.7128], [0.5000, 0.0000, 0.0000], [0.5000, 0.5000, 0.0000], [0.6220, 0.8110, 0.2872], [0.8110, 0.1890, 0.7128], [0.8110, 0.6220, 0.7128]], "total_energy_ev_per_fu": -38.0, "density_g_cm3": 3.237}

***

Entry 10:
{"formula": "Cs2RbMg2H7", "functional": "GGA-PBE", "state": "optimized geometry", "cell": [[-2.1077, 2.1077, 11.5356], [2.1077, -2.1077, 11.5356], [2.1077, 2.1077, -11.5356]], "species": ["Cs", "Cs", "Rb", "Mg", "Mg", "H", "H", "H", "H", "H", "H", "H"], "frac_coords": [[0.1822, 0.1822, 0.0000], [0.8178, 0.8178, 0.0000], [0.0000, 0.0000, 0.0000], [0.4124, 0.4124, 0.0000], [0.5876, 0.5876, 0.0000], [0.0879, 0.5879, 0.5000], [0.3278, 0.3278, 0.0000], [0.4121, 0.9121, 0.5000], [0.5000, 0.5000, 0.0000], [0.5879, 0.0879, 0.5000], [0.6722, 0.6722, 0.0000], [0.9121, 0.4121, 0.5000]], "total_energy_ev_per_fu": -32.2, "density_g_cm3": 3.296}

***

Entry 11:
{"formula": "Cs4Rb3MgH8", "functional": "GGA-PBE", "state": "optimized geometry", "cell": [[7.2294, -4.1766, 0.0000], [7.2294, 4.1766, 0.0000], [-4.8264, 0.0000, 6.9461]], "species": ["Cs", "Cs", "Cs", "Cs", "Rb", "Rb", "Rb", "Mg", "H", "H", "H", "H", "H", "H", "H", "H"], "frac_coords": [[0.0000, 0.0000, 0.0000], [0.0000, 0.5000, 0.0000], [0.5000, 0.0000, 0.0000], [0.5000, 0.5000, 0.0000], [0.0000, 0.0000, 0.5000], [0.0000, 0.5000, 0.5000], [0.5000, 0.0000, 0.5000], [0.5000, 0.5000, 0.5000], [0.2425, 0.2425, 0.7276], [0.3115, 0.6830, 0.6775], [0.3157, 0.3157, 0.3215], [0.3170, 0.6885, 0.3225], [0.6830, 0.3115, 0.6775], [0.6843, 0.6843, 0.6785], [0.6885, 0.3170, 0.3225], [0.7575, 0.7575, 0.2724]], "total_energy_ev_per_fu": -36.0, "density_g_cm3": 3.248}

***

Entry 12:
{"formula": "Cs2MgH6Rh", "functional": "GGA-PBE", "state": "optimized geometry", "cell": [[6.4821, 0.0000, 0.0000], [-3.2410, 5.6136, 0.0000], [0.0000, 0.0000, 5.0217]], "species": ["Cs", "Cs", "Mg", "H", "H", "H", "H", "H", "H", "Rh"], "frac_coords": [[0.3333, 0.6667, 0.2776], [0.6667, 0.3333, 0.7224], [0.0000, 0.0000, 0.0000], [0.1256, 0.2512, 0.7019], [0.1256, 0.8744, 0.7019], [0.2512, 0.1256, 0.2981], [0.7488, 0.8744, 0.7019], [0.8744, 0.1256, 0.2981], [0.8744, 0.7488, 0.2981], [0.0000, 0.0000, 0.5000]], "total_energy_ev_per_fu": -33.7, "density_g_cm3": 3.627}